[1]
VASP calculation (PBE-GGA) on a relaxed structure of AlInSe.

Summary:
calculated density = 5.3 Mg/m³
magnetic moment = 0.00 Bohr magnetons per cell
energy relative to the elements, uncorrected = -0.173 eV per atom
DOS(E_F) = 0.56 states/eV/atom

abc: 6.2248 6.2248 6.2248
angles: 147.46 147.46 46.68
Sites, in units of the cell vectors:
Al 0.0000 0.0000 0.0000
In 0.3100 0.3100 0.0000
Se 0.5868 0.5868 0.0000

***

[2]
VASP calculation (PBE-GGA) on a relaxed structure of ZrPd3Au.

Summary:
calculated density = 8.7 Mg/m³
magnetic moment = 0.00 Bohr magnetons per cell
calculated total energy = -0.350 Ry per atom
DOS(E_F) = 0.46 states/eV/atom

abc: 4.8717 4.8717 4.8717
angles: 90.00 90.00 90.00
Sites, in units of the cell vectors:
Zr 0.0000 0.0000 0.0000
Pd 0.0000 0.0000 0.5000
Pd 0.0000 0.5000 0.0000
Pd 0.5000 0.0000 0.0000
Au 0.5000 0.5000 0.5000

***

[3]
VASP calculation (PBE-GGA) on a relaxed structure of Ce6TlGa.

Summary:
calculated density = 8.7 Mg/m³
magnetic moment = 0.02 Bohr magnetons per cell
calculated total energy = -0.371 Ry per atom
DOS(E_F) = 2.76 states/eV/atom

abc: 6.4929 6.4929 6.4876
angles: 105.81 105.81 114.87
Sites, in units of the cell vectors:
Ce 0.0078 0.0078 0.2146
Ce 0.2087 0.6945 0.7086
Ce 0.3055 0.7913 0.2914
Ce 0.6945 0.2087 0.7086
Ce 0.7913 0.3055 0.2914
Ce 0.9922 0.9922 0.7854
Tl 0.5000 0.5000 0.0000
Ga 0.5000 0.5000 0.5000

***

[4]
VASP calculation (PBE-GGA) on a relaxed structure of CaLa2CdSb.

Summary:
calculated density = 4.8 Mg/m³
magnetic moment = 0.00 Bohr magnetons per cell
energy relative to the elements, uncorrected = 0.458 eV per atom
DOS(E_F) = 1.88 states/eV/atom

abc: 5.8640 5.8640 5.5563
angles: 90.00 90.00 90.00
Sites, in units of the cell vectors:
Ca 0.0000 0.0000 0.0000
La 0.0000 0.5000 0.0000
La 0.5000 0.0000 0.0000
Cd 0.5000 0.5000 0.5000
Sb 0.0000 0.0000 0.5000

***

[5]
VASP calculation (PBE-GGA) on a relaxed structure of Pu2MgGa4Pd3.

Summary:
calculated density = 9.5 Mg/m³
magnetic moment = 10.83 Bohr magnetons per cell
calculated total energy = -0.463 Ry per atom
DOS(E_F) = 2.58 states/eV/atom

abc: 4.0550 4.0550 11.8483
angles: 90.00 90.00 90.00
Sites, in units of the cell vectors:
Pu 0.0000 0.5000 0.2387
Pu 0.5000 0.0000 0.7613
Mg 0.0000 0.0000 0.5000
Ga 0.0000 0.0000 0.0000
Ga 0.0000 0.5000 0.6474
Ga 0.5000 0.0000 0.3526
Ga 0.5000 0.5000 0.0000
Pd 0.0000 0.5000 0.8619
Pd 0.5000 0.0000 0.1381
Pd 0.5000 0.5000 0.5000

***

[6]
VASP calculation (PBE-GGA) on a relaxed structure of KGe3Ir.

Summary:
calculated density = 6.8 Mg/m³
magnetic moment = 0.00 Bohr magnetons per cell
calculated total energy = -0.358 Ry per atom
DOS(E_F) = 0.38 states/eV/atom

abc: 6.3326 6.3326 7.7491
angles: 120.74 120.74 61.80
Sites, in units of the cell vectors:
K 0.0000 0.0000 0.0000
K 0.7249 0.7249 0.4525
Ge 0.1043 0.5649 0.1672
Ge 0.2178 0.2178 0.5546
Ge 0.2965 0.8637 0.6772
Ge 0.4246 0.4246 0.9712
Ge 0.5649 0.1043 0.1672
Ge 0.8637 0.2965 0.6772
Ir 0.3985 0.3985 0.4656
Ir 0.6422 0.6422 0.9402

***

[7]
VASP calculation (PBE-GGA) on a relaxed structure of ZrAl2Au.

Summary:
calculated density = 7.9 Mg/m³
magnetic moment = 0.00 Bohr magnetons per cell
calculated total energy = -0.384 Ry per atom
DOS(E_F) = 0.84 states/eV/atom

abc: 3.2705 3.2705 6.7172
angles: 90.00 90.00 90.00
Sites, in units of the cell vectors:
Zr 0.0000 0.0000 0.0000
Al 0.0000 0.0000 0.4946
Al 0.5000 0.5000 0.2629
Au 0.5000 0.5000 0.6954

***

[8]
VASP calculation (PBE-GGA) on a relaxed structure of BaRuNO2.

Summary:
calculated density = 4.7 Mg/m³
magnetic moment = 5.34 Bohr magnetons per cell
energy relative to the elements, uncorrected = 1.409 eV per atom
DOS(E_F) = 0.46 states/eV/atom

abc: 4.6139 4.6139 4.7243
angles: 90.00 90.00 90.00
Sites, in units of the cell vectors:
Ba 0.0000 0.0000 0.0000
Ru 0.5000 0.5000 0.5000
N 0.0000 0.0000 0.5000
O 0.0000 0.5000 0.0000
O 0.5000 0.0000 0.0000

***

Number 1: volume 69.5 Å³/f.u.. Number 2: volume 115.6 Å³/f.u.. Number 3: volume 214.0 Å³/f.u.. Number 4: volume 191.1 Å³/f.u.. Number 5: volume 194.8 Å³/f.u.. Number 6: volume 110.0 Å³/f.u.. Number 7: volume 71.8 Å³/f.u.. Number 8: volume 100.6 Å³/f.u..